(1)
This record from the Alexandria database describes an optimized crystal structure of Ga3Pd2. The functional is PBE-GGA.

abc: 8.134 8.134 8.134
angles: 37.74 37.74 37.74
Fractional positions:
Ga: 0.076 0.750 0.424
Ga: 0.250 0.576 0.924
Ga: 0.424 0.076 0.750
Ga: 0.576 0.924 0.250
Ga: 0.750 0.424 0.076
Ga: 0.924 0.250 0.576
Pd: 0.162 0.162 0.162
Pd: 0.338 0.338 0.338
Pd: 0.662 0.662 0.662
Pd: 0.838 0.838 0.838

Output
- VASP energy: -4.31 eV/atom
- Formation enthalpy at 0 K: -0.417 eV per atom
- M_tot: 0.00 μB per formula unit
- SG: R-3c, No. 167



(2)
This record from the Alexandria database describes an optimized crystal structure of GaB2Pd8. The functional is PBE-GGA.

abc: 6.209 6.209 4.352
angles: 98.14 98.14 110.85
Fractional positions:
Ga: 0.000 0.000 0.000
B: 0.319 0.681 0.500
B: 0.681 0.319 0.500
Pd: 0.066 0.331 0.591
Pd: 0.249 0.751 0.000
Pd: 0.331 0.066 0.591
Pd: 0.384 0.384 0.202
Pd: 0.616 0.616 0.798
Pd: 0.669 0.934 0.409
Pd: 0.751 0.249 0.000
Pd: 0.934 0.669 0.409

Output
- VASP energy: -5.52 eV/atom
- Formation enthalpy at 0 K: -0.254 eV per atom
- M_tot: 0.00 μB per formula unit
- SG: C2/m, No. 12



(3)
This record from the Alexandria database describes an optimized crystal structure of ZnTc4. The functional is PBE-GGA.

abc: 4.801 4.801 4.801
angles: 109.47 109.47 109.47
Fractional positions:
Zn: 0.000 0.000 0.000
Tc: 0.000 0.000 0.500
Tc: 0.000 0.500 0.000
Tc: 0.500 0.000 0.000
Tc: 0.500 0.500 0.500

Output
- VASP energy: -7.13 eV/atom
- ΔE to the lowest computed polymorph: 128.85 kJ/mol of atoms
- Formation enthalpy at 0 K: 1.418 eV per atom
- M_tot: 0.00 μB per formula unit
- SG: Im-3m, No. 229



(4)
This record from the Alexandria database describes an optimized crystal structure of YTcPb2O6. The functional is PBE-GGA.

abc: 5.879 5.889 10.142
angles: 90.00 125.10 90.00
Fractional positions:
Y: 0.000 0.000 0.000
Y: 0.000 0.500 0.500
Tc: 0.500 0.000 0.500
Tc: 0.500 0.500 0.000
Pb: 0.262 0.028 0.753
Pb: 0.262 0.472 0.253
Pb: 0.738 0.528 0.747
Pb: 0.738 0.972 0.247
O: 0.188 0.016 0.268
O: 0.188 0.484 0.768
O: 0.278 0.700 0.044
O: 0.278 0.800 0.544
O: 0.348 0.228 0.042
O: 0.348 0.272 0.542
O: 0.652 0.728 0.458
O: 0.652 0.772 0.958
O: 0.722 0.200 0.456
O: 0.722 0.300 0.956
O: 0.812 0.516 0.232
O: 0.812 0.984 0.732

Output
- Formation energy without anion corrections: -1.79 eV/atom
- VASP energy: -7.19 eV/atom
- M_tot: 2.00 μB per formula unit
- SG: P2_1/c, No. 14



(5)
This record from the Alexandria database describes an optimized crystal structure of Mg2ScTe4. The functional is PBE-GGA.

abc: 7.270 7.270 14.071
angles: 90.00 90.00 148.16
Fractional positions:
Mg: 0.135 0.865 0.573
Mg: 0.135 0.865 0.927
Mg: 0.865 0.135 0.073
Mg: 0.865 0.135 0.427
Sc: 0.380 0.620 0.750
Sc: 0.620 0.380 0.250
Te: 0.035 0.965 0.750
Te: 0.214 0.786 0.120
Te: 0.214 0.786 0.380
Te: 0.500 0.500 0.000
Te: 0.500 0.500 0.500
Te: 0.786 0.214 0.620
Te: 0.786 0.214 0.880
Te: 0.965 0.035 0.250

Output
- Formation energy without anion corrections: -0.81 eV/atom
- VASP energy: -3.96 eV/atom
- M_tot: 0.00 μB per formula unit
- SG: Cmcm, No. 63



(6)
This record from the Alexandria database describes an optimized crystal structure of Li2MnCl. The functional is PBE-GGA.

abc: 3.301 3.301 7.924
angles: 90.00 90.00 90.00
Fractional positions:
Li: 0.000 0.000 0.000
Li: 0.500 0.500 0.252
Mn: 0.000 0.000 0.457
Cl: 0.500 0.500 0.942

Output
- Formation energy without anion corrections: -0.30 eV/atom
- VASP energy: -4.02 eV/atom
- ΔE to the lowest computed polymorph: 13.41 kJ/mol of atoms
- M_tot: 4.17 μB per formula unit
- SG: P4mm, No. 99



(7)
This record from the Alexandria database describes an optimized crystal structure of Pr2In4Pb. The functional is PBE-GGA.

abc: 6.549 6.549 6.743
angles: 118.98 118.98 90.00
Fractional positions:
Pr: 0.000 0.500 0.000
Pr: 0.500 0.000 0.000
In: 0.000 0.000 0.500
In: 0.000 0.500 0.500
In: 0.500 0.000 0.500
In: 0.500 0.500 0.500
Pb: 0.000 0.000 0.000

Output
- VASP energy: -3.79 eV/atom
- Formation enthalpy at 0 K: -0.333 eV per atom
- M_tot: 0.00 μB per formula unit
- SG: C2/m, No. 12



(8)
This record from the Alexandria database describes an optimized crystal structure of BaPmCdGa. The functional is PBE-GGA.

abc: 5.598 5.598 5.598
angles: 60.00 60.00 60.00
Fractional positions:
Ba: 0.000 0.000 0.000
Pm: 0.500 0.500 0.500
Cd: 0.250 0.250 0.250
Ga: 0.750 0.750 0.750

Output
- VASP energy: -2.91 eV/atom
- Formation enthalpy at 0 K: -0.258 eV per atom
- M_tot: 0.00 μB per formula unit
- SG: F-43m, No. 216



(9)
This record from the Alexandria database describes an optimized crystal structure of BeP2Br. The functional is PBE-GGA.

abc: 3.304 3.304 6.706
angles: 90.00 90.00 90.00
Fractional positions:
Be: 0.000 0.000 0.000
P: 0.000 0.500 0.500
P: 0.500 0.000 0.500
Br: 0.500 0.500 0.000

Output
- Formation energy without anion corrections: 0.47 eV/atom
- VASP energy: -3.58 eV/atom
- ΔE to the lowest computed polymorph: 68.02 kJ/mol of atoms
- M_tot: 0.00 μB per formula unit
- SG: P4/mmm, No. 123



(10)
This record from the Alexandria database describes an optimized crystal structure of Nd3FeHg. The functional is PBE-GGA.

abc: 5.249 5.249 5.249
angles: 90.00 90.00 90.00
Fractional positions:
Nd: 0.000 0.000 0.500
Nd: 0.000 0.500 0.000
Nd: 0.500 0.000 0.000
Fe: 0.000 0.000 0.000
Hg: 0.500 0.500 0.500

Output
- VASP energy: -4.60 eV/atom
- ΔE to the lowest computed polymorph: 14.29 kJ/mol of atoms
- Formation enthalpy at 0 K: 0.018 eV per atom
- M_tot: 0.17 μB per formula unit
- SG: Pm-3m, No. 221



(11)
This record from the Alexandria database describes an optimized crystal structure of KLi2Os. The functional is PBE-GGA.

abc: 4.844 4.844 7.411
angles: 92.20 92.20 31.35
Fractional positions:
K: 0.000 0.000 0.000
Li: 0.239 0.239 0.602
Li: 0.490 0.490 0.415
Os: 0.751 0.751 0.302

Output
- VASP energy: -3.40 eV/atom
- ΔE to the lowest computed polymorph: 7.12 kJ/mol of atoms
- Formation enthalpy at 0 K: 0.642 eV per atom
- M_tot: 0.41 μB per formula unit
- SG: Cm, No. 8



(12)
This record from the Alexandria database describes an optimized crystal structure of Pr6ErPb. The functional is PBE-GGA.

abc: 5.067 5.067 10.444
angles: 90.00 90.00 90.00
Fractional positions:
Pr: 0.000 0.000 0.000
Pr: 0.000 0.000 0.500
Pr: 0.000 0.500 0.245
Pr: 0.000 0.500 0.755
Pr: 0.500 0.000 0.245
Pr: 0.500 0.000 0.755
Er: 0.500 0.500 0.500
Pb: 0.500 0.500 0.000

Output
- VASP energy: -4.77 eV/atom
- Formation enthalpy at 0 K: -0.147 eV per atom
- M_tot: 0.00 μB per formula unit
- SG: P4/mmm, No. 123



(13)
This record from the Alexandria database describes an optimized crystal structure of Ac3Gd. The functional is PBE-GGA.

abc: 5.503 5.503 5.503
angles: 90.00 90.00 90.00
Fractional positions:
Ac: 0.000 0.000 0.500
Ac: 0.000 0.500 0.000
Ac: 0.500 0.000 0.000
Gd: 0.500 0.500 0.500

Output
- VASP energy: -6.58 eV/atom
- Formation enthalpy at 0 K: 0.026 eV per atom
- M_tot: 7.36 μB per formula unit
- SG: Pm-3m, No. 221